VASP calculation (PBE) on a relaxed structure of TiPd2PbI.

The value obtained for the total magnetic moment is 0.00 μB/cell. The value obtained for the total energy is -3.729 eV/atom. Its formation energy (no corrections) is 0.9787 eV per atom.

The structure belongs to space group P4/mmm (No. 123); the cell edges are 4.894, 4.894 and 6.132 Å and the angles 90.00°, 90.00° and 90.00°. The asymmetric unit holds Ti at (0.000, 0.000, 0.000), Pd at (0.000, 0.500, 0.500), Pb at (0.500, 0.500, 0.000) and I at (0.500, 0.500, 0.500).

VASP calculation (PBE) on a relaxed structure of Sr2PaTe6.

The value obtained for the total magnetic moment is 0.00 μB/cell. The value obtained for the total energy is -4.514 eV/atom. Its formation energy (no corrections) is -0.9911 eV per atom.

The structure belongs to space group Amm2 (No. 38); the cell edges are 4.456, 16.179 and 8.304 Å and the angles 90.00°, 90.00° and 90.00°. The asymmetric unit holds Sr at (0.000, 0.182, 0.000), Pa at (0.500, 0.000, 0.557), Te at (0.000, 0.000, 0.814), Te at (0.000, 0.111, 0.393), Te at (0.500, 0.000, 0.186) and Te at (0.500, 0.193, 0.689).